First-principles (PBE) data for an optimized crystal structure of HfSiGe3, as listed in Alexandria via LeMat-Bulk.

## Properties
The value obtained for the total moment is 0.0 μB/f.u. For the polymorph energy (0 for the lowest one), the calculation gives 0.0000 eV per atom. The calculation puts the uncorrected formation energy at 709 meV per atom. For the total DFT energy (no corrections), the calculation gives -5.137 eV/atom. As for the density of states at the Fermi level: 4.2 states/eV/f.u. Its symmetry is Pm-3m.

Unit cell a=4.718 b=4.718 c=4.718 alpha=90.00 beta=90.00 gamma=90.00
Fractional positions:
Hf (0.000, 0.000, 0.000)
Si (0.500, 0.500, 0.500)
Ge (0.000, 0.500, 0.500)
Ge (0.500, 0.000, 0.500)
Ge (0.500, 0.500, 0.000)